Below is an optimized crystal structure of RbSrAs, with properties calculated at the PBE level.

Results
* theoretical density: 3.35 g cm⁻³
* ΔE_f: -0.74 eV per atom
* calculated volume: 123.0 Å³/f.u.
* DOS at the Fermi energy: 0.1703 states/eV/atom
* crystal system: tetragonal

Unit cell a=5.5064 b=5.5067 c=8.9982 alpha=72.17 beta=72.18 gamma=90.00
Last column: nearest neighbours and their distance in Å.
Fractional coordinates of all 6 atoms:
Sr: 0.6542 0.0945 0.6085  4 As 3.17
Sr: 0.1542 0.5946 0.6085  4 As 3.17
Rb: 0.4042 0.8442 0.1085  4 As 3.70-3.71, 4 Rb 3.89, 2 Sr 4.06
Rb: 0.9042 0.3441 0.1085  4 As 3.70, 4 Rb 3.89, 2 Sr 4.06
As: 0.2516 0.1919 0.4139  4 Sr 3.17
As: 0.5569 0.4972 0.8031  4 Sr 3.17